No. 1
## Sc2TiSnB (PBE)

Data for a geometry-optimized Sc2TiSnB structure.

Results
Space-group type = P4/mmm, No. 123

a b c (Å): 4.608 4.608 4.404
angles (deg): 90.00 90.00 90.00
Atoms (fractional coordinates):
Ti1 0.000 0.000 0.500
B1 0.000 0.000 0.000
Sc1 0.500 0.000 0.000
Sc2 0.000 0.500 0.000
Sn1 0.500 0.500 0.500

No. 2
## Pb2IO5 (PBE)

Data for a geometry-optimized Pb2IO5 structure.

Results
Space-group type = Cm, No. 8

a b c (Å): 6.079 6.079 6.016
angles (deg): 120.29 120.28 90.00
Atoms (fractional coordinates):
I1 0.000 0.000 0.999
O1 0.262 0.262 0.067
O2 0.805 0.262 0.066
O3 0.785 0.785 0.569
O4 0.805 0.805 0.066
O5 0.262 0.805 0.066
Pb1 0.680 0.179 0.360
Pb2 0.179 0.680 0.360

Mass density values (in g cm⁻³) by entry order: 4.7; 6.6.
Calculated total energy values (in eV/atom) by entry order: -6.789; -4.849.
Total magnetization values (in Bohr magnetons per cell) by entry order: 0.000; 0.987.